{
  "formula": "LiLaSb2I",
  "functional": "PBE",
  "state": "optimized geometry",
  "lattice_angstrom": [[6.1233, 0.0000, 0.0000], [0.0000, 6.1233, 0.0000], [0.0000, 0.0000, 6.3309]],
  "species": ["Li", "La", "Sb", "Sb", "I"],
  "fractional_positions": [[0.0000, 0.0000, 0.0000], [0.5000, 0.5000, 0.5000], [0.0000, 0.5000, 0.5000], [0.5000, 0.0000, 0.5000], [0.5000, 0.5000, 0.0000]],
  "e_form_raw_kj_per_mol_fu": -50,
  "polymorph_energy_kcal_per_mol_atoms": 7.90,
  "sg": "P4/mmm, No. 123"
}